DFT (PBE) results for a relaxed Sm6SnOs2 crystal.

a = 9.6728 Å, b = 9.7971 Å, c = 10.5776 Å
α = 90.00°, β = 90.00°, γ = 90.00°
Space group Immm (No. 71)
Inequivalent atoms, fractional coordinates:
Sm 0.0000 0.2068 0.2406 [8 per cell]
Sm 0.1860 0.5000 0.1698 [8 per cell]
Sm 0.2184 0.3156 0.5000 [8 per cell]
Sn 0.0000 0.0000 0.0000 [2 per cell]
Sn 0.0000 0.0000 0.5000 [2 per cell]
Os 0.0000 0.3284 0.0000 [4 per cell]
Os 0.0000 0.5000 0.3813 [4 per cell]

Properties
The total magnetization comes out at 0.000 Bohr magnetons per cell. Its formation energy is -0.303 eV per atom.



DFT (PBE) results for a relaxed Sm12Sn6Os crystal.

a = 13.4120 Å, b = 13.4120 Å, c = 12.5461 Å
α = 90.00°, β = 90.00°, γ = 120.00°
Space group R-3 (No. 148, hexagonal axes)
Inequivalent atoms, fractional coordinates:
Sm 0.0333 0.8319 0.3948 [18 per cell]
Sm 0.0607 0.8636 0.8830 [18 per cell]
Sn 0.0481 0.7674 0.6438 [18 per cell]
Os 0.0000 0.0000 0.0000 [3 per cell]

Properties
The total magnetization comes out at 0.001 Bohr magnetons per cell. Its formation energy is -0.386 eV per atom.



- total magnetization of number 1 (Sm6SnOs2)?
  0.000 Bohr magnetons per cell